## Th2TlTe (PBE-GGA)

Data for crystalline Th2TlTe at its relaxed geometry.

Cell lengths 4.601, 4.601, 21.339 Å; angles 90.00, 90.00, 120.00 degrees
Positions (direct):
Th  0.000  0.000  0.247
Th  0.000  0.000  0.753
Th  0.333  0.667  0.419
Th  0.333  0.667  0.914
Th  0.667  0.333  0.086
Th  0.667  0.333  0.581
Tl  0.000  0.000  0.500
Tl  0.333  0.667  0.167
Tl  0.667  0.333  0.833
Te  0.000  0.000  0.000
Te  0.333  0.667  0.667
Te  0.667  0.333  0.333

Results
Spin magnetization ... 0.000 μB per atom
Fermi-level density of states ... 8.20 states/eV/cell
Space-group type ... No. 166
Crystal system ... trigonal
E_form (uncorrected) ... -202 kJ/mol of formula units